No. 1
The following is a GGA-PBE calculation of a relaxed structure of AsPt3, from the Alexandria database.

It has space group P-6m2 (No. 187), with a = 3.4755 Å, b = 3.4755 Å, c = 6.6813 Å, α = 90.00°, β = 90.00° and γ = 120.00°. Symmetry generates all atoms from As at (0.0000, 0.0000, 0.0000), Pt at (0.0000, 0.0000, 0.5000) and Pt at (0.6667, 0.3333, 0.2240).

The total magnetization is 0.0 Bohr magnetons per cell. For the calculated volume, the calculation gives 17.473 Å³/atom. The calculation puts the formation enthalpy at 0 K at 0.0124 eV per atom. The calculated density comes out at 15.7 g/cm3.

***

No. 2
The following is a GGA-PBE calculation of a relaxed structure of AsPt2, from the Alexandria database.

It has space group C2/m (No. 12), with a = 10.587 Å, b = 3.531 Å, c = 6.001 Å, α = 90.00°, β = 114.81° and γ = 90.00°. Symmetry generates all atoms from As at (0.187, 0.000, 0.143), Pt at (0.069, 0.500, 0.834) and Pt at (0.128, 0.000, 0.485).

The total magnetization is 0.0 Bohr magnetons per cell. For the calculated volume, the calculation gives 16.968 Å³/atom. The calculation puts the formation enthalpy at 0 K at -0.1835 eV per atom. The calculated density comes out at 15.2 g/cm3.

***

No. 3
The following is a GGA-PBE calculation of a relaxed structure of AsPt2, from the Alexandria database.

It has space group P4/mmm (No. 123), with a = 3.890 Å, b = 3.890 Å, c = 3.557 Å, α = 90.00°, β = 90.00° and γ = 90.00°. Symmetry generates all atoms from As at (0.000, 0.000, 0.000) and Pt at (0.000, 0.500, 0.500).

The total magnetization is 0.0 Bohr magnetons per cell. For the calculated volume, the calculation gives 17.945 Å³/atom. The calculation puts the formation enthalpy at 0 K at -0.1107 eV per atom. The calculated density comes out at 14.3 g/cm3.

***

No. 4
The following is a GGA-PBE calculation of a relaxed structure of AsPt, from the Alexandria database.

It has space group Pm-3n (No. 223), with a = 6.912 Å, b = 6.912 Å, c = 6.912 Å, α = 90.00°, β = 90.00° and γ = 90.00°. Symmetry generates all atoms from As at (0.000, 0.250, 0.500) and Pt at (0.000, 0.500, 0.250).

The total magnetization is 0.0 Bohr magnetons per cell. For the calculated volume, the calculation gives 27.517 Å³/atom. The calculation puts the formation enthalpy at 0 K at -0.0169 eV per atom. The calculated density comes out at 8.1 g/cm3.

***

No. 5
The following is a GGA-PBE calculation of a relaxed structure of As7Pt, from the Alexandria database.

It has space group Fm-3m (No. 225), with a = 8.436 Å, b = 8.436 Å, c = 8.436 Å, α = 90.00°, β = 90.00° and γ = 90.00°. Symmetry generates all atoms from As at (0.000, 0.000, 0.000), As at (0.000, 0.250, 0.250) and Pt at (0.000, 0.000, 0.500).

The total magnetization is 0.0 Bohr magnetons per cell. For the calculated volume, the calculation gives 18.762 Å³/atom. The calculation puts the formation enthalpy at 0 K at 0.4376 eV per atom. The calculated density comes out at 8.0 g/cm3.

***

No. 6
The following is a GGA-PBE calculation of a relaxed structure of AsPt2, from the Alexandria database.

It has space group Cmcm (No. 63), with a = 4.189 Å, b = 13.904 Å, c = 3.437 Å, α = 90.00°, β = 90.00° and γ = 90.00°. Symmetry generates all atoms from As at (0.000, 0.101, 0.250), Pt at (0.000, 0.230, 0.750) and Pt at (0.000, 0.417, 0.250).

The total magnetization is 0.0 Bohr magnetons per cell. For the calculated volume, the calculation gives 16.685 Å³/atom. The calculation puts the formation enthalpy at 0 K at -0.0951 eV per atom. The calculated density comes out at 15.4 g/cm3.

***

No. 7
The following is a GGA-PBE calculation of a relaxed structure of As5Pt4, from the Alexandria database.

It has space group I4/mmm (No. 139), with a = 8.315 Å, b = 8.315 Å, c = 4.484 Å, α = 90.00°, β = 90.00° and γ = 90.00°. Symmetry generates all atoms from As at (0.000, 0.000, 0.000), As at (0.177, 0.177, 0.500) and Pt at (0.000, 0.325, 0.000).

The total magnetization is 0.0 Bohr magnetons per cell. For the calculated volume, the calculation gives 17.224 Å³/atom. The calculation puts the formation enthalpy at 0 K at 0.1250 eV per atom. The calculated density comes out at 12.4 g/cm3.

***

No. 8
The following is a GGA-PBE calculation of a relaxed structure of AsPt, from the Alexandria database.

It has space group Fddd (No. 70, origin choice 2), with a = 7.591 Å, b = 7.891 Å, c = 11.970 Å, α = 90.00°, β = 90.00° and γ = 90.00°. Symmetry generates all atoms from As at (0.106, 0.375, 0.375) and Pt at (0.125, 0.125, 0.505).

The total magnetization is 0.0 Bohr magnetons per cell. For the calculated volume, the calculation gives 22.406 Å³/atom. The calculation puts the formation enthalpy at 0 K at -0.0943 eV per atom. The calculated density comes out at 10.0 g/cm3.

***

Calculated total energy for every record listed, in sequence, given in eV/atom: -5.681; -5.761; -5.688; -5.362; -4.386; -5.672; -5.143; -5.439.